--- one ---
BiH3Pb: relaxed, PBE.

Unit cell a=4.2749 b=4.2749 c=4.2749 alpha=90.00 beta=90.00 gamma=90.00
Space group Pm-3m (No. 221)
Unique sites:
Bi1 0.0000 0.0000 0.0000 (multiplicity 1)
H1 0.0000 0.5000 0.5000 (multiplicity 3)
Pb1 0.5000 0.5000 0.5000 (multiplicity 1)

--- two ---
BiH3Pb: relaxed, PBE.

Unit cell a=4.3255 b=4.3255 c=4.3255 alpha=90.00 beta=90.00 gamma=90.00
Space group Pm-3m (No. 221)
Unique sites:
Bi1 0.0000 0.0000 0.0000 (multiplicity 1)
H1 0.0000 0.0000 0.5000 (multiplicity 3)
Pb1 0.5000 0.5000 0.5000 (multiplicity 1)

Ranking the structures above by energy, two is first and the second is 99 meV per atom behind.